Below is crystalline CrCOF2 at its relaxed geometry, with properties calculated at the PBE+U level.

Summary:
- polymorph energy (0 for the lowest one) (kJ/mol of formula units) = 0
- size of the total moment (μB per formula unit) = 2.00

a = 3.8362 Å, b = 3.8362 Å, c = 3.9833 Å
α = 90.00°, β = 90.00°, γ = 90.00°
Closest atoms and distances in Å follow each position.
Space group P4/mmm (No. 123)
Symmetry-distinct sites (fractional):
Cr  0.0000  0.0000  0.0000  4 F 1.92, 2 O 1.99
C  0.5000  0.5000  0.5000  4 O 2.71, 8 F 2.77
O  0.0000  0.0000  0.5000  2 Cr 1.99
F  0.0000  0.5000  0.0000  2 Cr 1.92